1.
A relaxed CsPrI3 crystal, computed with PBE.

Crystal system: tetragonal
Total DFT energy (no corrections) in eV/atom: -3.37
Space-group type: P4/mbm

Structure (POSCAR):
```
CsPrI3
1.0
8.816 0.000 0.000
0.000 8.816 0.000
0.000 0.000 6.322
Cs Pr I
2 2 6
direct
0.000 0.500 0.000
0.500 0.000 0.000
0.000 0.000 0.500
0.500 0.500 0.500
0.000 0.000 0.000
0.210 0.290 0.500
0.290 0.790 0.500
0.500 0.500 0.000
0.710 0.210 0.500
0.790 0.710 0.500
```

=====

2.
A relaxed Cs2PtI4 crystal, computed with PBE.

Crystal system: tetragonal
Total DFT energy (no corrections) in eV/atom: -2.95
Space-group type: P4_2/mnm

Structure (POSCAR):
```
Cs2PtI4
1.0
7.567 0.000 0.000
0.000 7.567 0.000
0.000 0.000 12.373
Cs Pt I
4 2 8
direct
0.000 0.500 0.250
0.000 0.500 0.750
0.500 0.000 0.250
0.500 0.000 0.750
0.000 0.000 0.000
0.500 0.500 0.500
0.000 0.000 0.213
0.000 0.000 0.787
0.247 0.247 0.000
0.253 0.747 0.500
0.500 0.500 0.287
0.500 0.500 0.713
0.747 0.253 0.500
0.753 0.753 0.000
```

=====

3.
A relaxed CsReI6 crystal, computed with PBE.

Crystal system: monoclinic
Total DFT energy (no corrections) in eV/atom: -3.15
Space-group type: C2/c

Structure (POSCAR):
```
CsReI6
1.0
6.615 -3.597 0.000
6.615 3.597 0.000
-2.799 0.000 14.037
Cs Re I
2 2 12
direct
0.087 0.913 0.750
0.913 0.087 0.250
0.000 0.500 0.000
0.500 0.000 0.500
0.085 0.210 0.532
0.200 0.382 0.838
0.210 0.085 0.032
0.324 0.531 0.102
0.382 0.200 0.338
0.469 0.676 0.398
0.531 0.324 0.602
0.618 0.800 0.662
0.676 0.469 0.898
0.790 0.915 0.968
0.800 0.618 0.162
0.915 0.790 0.468
```